1.
Computed, not measured: a geometry-optimized Pr2ZnSi structure at the PBE level of DFT.

a b c (Å): 4.2286 4.2286 28.7161
angles (deg): 90.00 90.00 120.00
Fractional coordinates of all 12 atoms:
Pr: 0.0000 0.0000 0.1113
Pr: 0.0000 0.0000 0.8887
Pr: 0.3333 0.6667 0.5553
Pr: 0.3333 0.6667 0.7780
Pr: 0.6667 0.3333 0.2220
Pr: 0.6667 0.3333 0.4447
Zn: 0.0000 0.0000 0.0000
Zn: 0.3333 0.6667 0.6667
Zn: 0.6667 0.3333 0.3333
Si: 0.0000 0.0000 0.5000
Si: 0.3333 0.6667 0.1667
Si: 0.6667 0.3333 0.8333

* theoretical density: 4.205 Mg/m³
* Fermi-level density of states: 15.6 states/eV/cell
* ΔE_f (raw): 2 kJ/mol of atoms
* total magnetic moment: 0.2 μB per formula unit
* V: 37.1 A^3/atom
* E_tot: -4.039 eV per atom

***

2.
Computed, not measured: a geometry-optimized Pr6ZnSi2 structure at the PBE level of DFT.

a b c (Å): 8.8110 8.8110 8.8110
angles (deg): 111.05 109.88 107.50
Fractional coordinates of all 18 atoms:
Pr: 0.0499 0.2496 0.8003
Pr: 0.1756 0.2667 0.4423
Pr: 0.1756 0.7333 0.9089
Pr: 0.3255 0.0320 0.7065
Pr: 0.3255 0.6190 0.2935
Pr: 0.4494 0.2496 0.1997
Pr: 0.5506 0.7504 0.8003
Pr: 0.6745 0.3810 0.7065
Pr: 0.6745 0.9680 0.2935
Pr: 0.8244 0.2667 0.0911
Pr: 0.8244 0.7333 0.5577
Pr: 0.9501 0.7504 0.1997
Zn: 0.0000 0.0000 0.0000
Zn: 0.5000 0.5000 0.0000
Si: 0.1142 0.6142 0.5000
Si: 0.3659 0.0000 0.3659
Si: 0.6341 0.0000 0.6341
Si: 0.8858 0.3858 0.5000

* theoretical density: 6.105 Mg/m³
* Fermi-level density of states: 16.6 states/eV/cell
* ΔE_f (raw): -38 kJ/mol of atoms
* total magnetic moment: 0.0 μB per formula unit
* V: 29.2 A^3/atom
* E_tot: -4.922 eV per atom

***

3.
Computed, not measured: a geometry-optimized Pr2ZnSi structure at the PBE level of DFT.

a b c (Å): 5.0810 5.0810 3.8583
angles (deg): 90.00 90.00 90.00
Fractional coordinates of all 4 atoms:
Pr: 0.0000 0.5000 0.0000
Pr: 0.5000 0.0000 0.0000
Zn: 0.0000 0.0000 0.5000
Si: 0.5000 0.5000 0.5000

* theoretical density: 6.257 Mg/m³
* Fermi-level density of states: 2.2 states/eV/cell
* ΔE_f (raw): -40 kJ/mol of atoms
* total magnetic moment: 0.0 μB per formula unit
* V: 24.9 A^3/atom
* E_tot: -4.480 eV per atom

***

4.
Computed, not measured: a geometry-optimized Pr3Zn9Si2 structure at the PBE level of DFT.

a b c (Å): 8.2468 8.2468 8.2468
angles (deg): 149.26 107.18 81.09
Fractional coordinates of all 14 atoms:
Pr: 0.0000 0.0000 0.0000
Pr: 0.3153 0.3153 0.0000
Pr: 0.6847 0.6847 0.0000
Zn: 0.0329 0.6643 0.3686
Zn: 0.1375 0.8641 0.2733
Zn: 0.2957 0.6643 0.6314
Zn: 0.4092 0.1359 0.2733
Zn: 0.5000 0.0000 0.5000
Zn: 0.5908 0.8641 0.7267
Zn: 0.7043 0.3357 0.3686
Zn: 0.8625 0.1359 0.7267
Zn: 0.9671 0.3357 0.6314
Si: 0.2783 0.5000 0.7783
Si: 0.7217 0.5000 0.2217

* theoretical density: 6.610 Mg/m³
* Fermi-level density of states: 7.6 states/eV/cell
* ΔE_f (raw): -31 kJ/mol of atoms
* total magnetic moment: 0.0 μB per formula unit
* V: 19.2 A^3/atom
* E_tot: -2.943 eV per atom

***

5.
Computed, not measured: a geometry-optimized Pr6Zn5Si structure at the PBE level of DFT.

a b c (Å): 8.2936 8.2936 7.4291
angles (deg): 90.00 90.00 143.34
Fractional coordinates of all 12 atoms:
Pr: 0.0000 0.0000 0.2407
Pr: 0.0000 0.0000 0.7593
Pr: 0.3371 0.6629 0.2474
Pr: 0.3371 0.6629 0.7526
Pr: 0.6629 0.3371 0.2474
Pr: 0.6629 0.3371 0.7526
Zn: 0.1677 0.8323 0.5000
Zn: 0.1756 0.8244 0.0000
Zn: 0.5000 0.5000 0.5000
Zn: 0.8244 0.1756 0.0000
Zn: 0.8323 0.1677 0.5000
Si: 0.5000 0.5000 0.0000

* theoretical density: 6.535 Mg/m³
* Fermi-level density of states: 12.3 states/eV/cell
* ΔE_f (raw): -33 kJ/mol of atoms
* total magnetic moment: 0.0 μB per formula unit
* V: 25.4 A^3/atom
* E_tot: -3.717 eV per atom

***

6.
Computed, not measured: a geometry-optimized Pr2ZnSi structure at the PBE level of DFT.

a b c (Å): 6.0894 4.1453 8.6853
angles (deg): 90.00 109.93 90.00
Fractional coordinates of all 8 atoms:
Pr: 0.2132 0.2500 0.4199
Pr: 0.2858 0.7500 0.0630
Pr: 0.7142 0.2500 0.9370
Pr: 0.7868 0.7500 0.5801
Zn: 0.1639 0.2500 0.7764
Zn: 0.8361 0.7500 0.2236
Si: 0.3581 0.7500 0.7080
Si: 0.6419 0.2500 0.2920

* theoretical density: 6.048 Mg/m³
* Fermi-level density of states: 9.0 states/eV/cell
* ΔE_f (raw): -48 kJ/mol of atoms
* total magnetic moment: 0.0 μB per formula unit
* V: 25.8 A^3/atom
* E_tot: -4.562 eV per atom

***

7.
Computed, not measured: a geometry-optimized PrZn2Si2 structure at the PBE level of DFT.

a b c (Å): 4.1180 4.1180 5.4878
angles (deg): 90.00 90.00 90.00
Fractional coordinates of all 5 atoms:
Pr: 0.0000 0.0000 0.0000
Zn: 0.0000 0.5000 0.5000
Zn: 0.5000 0.0000 0.5000
Si: 0.5000 0.5000 0.2120
Si: 0.5000 0.5000 0.7880

* theoretical density: 5.851 Mg/m³
* Fermi-level density of states: 1.0 states/eV/cell
* ΔE_f (raw): -35 kJ/mol of atoms
* total magnetic moment: 0.0 μB per formula unit
* V: 18.6 A^3/atom
* E_tot: -3.993 eV per atom

***

8.
Computed, not measured: a geometry-optimized PrZn3Si structure at the PBE level of DFT.

a b c (Å): 11.3666 11.3666 4.2110
angles (deg): 100.64 100.64 20.78
Fractional coordinates of all 10 atoms:
Pr: 0.0925 0.0925 0.3419
Pr: 0.9075 0.9075 0.6581
Zn: 0.2060 0.2060 0.9557
Zn: 0.2889 0.2889 0.5393
Zn: 0.4726 0.4726 0.2227
Zn: 0.5274 0.5274 0.7773
Zn: 0.7111 0.7111 0.4607
Zn: 0.7940 0.7940 0.0443
Si: 0.3614 0.3614 0.1124
Si: 0.6386 0.6386 0.8876

* theoretical density: 6.397 Mg/m³
* Fermi-level density of states: 3.7 states/eV/cell
* ΔE_f (raw): -32 kJ/mol of atoms
* total magnetic moment: 0.0 μB per formula unit
* V: 19.0 A^3/atom
* E_tot: -3.133 eV per atom

***

9.
Computed, not measured: a geometry-optimized PrZn3Si2 structure at the PBE level of DFT.

a b c (Å): 8.0921 8.0921 7.8270
angles (deg): 118.11 118.11 29.49
Fractional coordinates of all 12 atoms:
Pr: 0.1517 0.1517 0.0672
Pr: 0.8483 0.8483 0.9328
Zn: 0.0396 0.0396 0.3670
Zn: 0.3097 0.3097 0.5539
Zn: 0.4042 0.4042 0.3074
Zn: 0.5958 0.5958 0.6926
Zn: 0.6903 0.6903 0.4461
Zn: 0.9604 0.9604 0.6330
Si: 0.1884 0.1884 0.6934
Si: 0.4816 0.4816 0.8361
Si: 0.5184 0.5184 0.1639
Si: 0.8116 0.8116 0.3066

* theoretical density: 5.927 Mg/m³
* Fermi-level density of states: 4.3 states/eV/cell
* ΔE_f (raw): -25 kJ/mol of atoms
* total magnetic moment: 0.0 μB per formula unit
* V: 18.4 A^3/atom
* E_tot: -3.500 eV per atom

***

10.
Computed, not measured: a geometry-optimized Pr3Zn4Si2 structure at the PBE level of DFT.

a b c (Å): 5.9522 5.9522 8.5926
angles (deg): 104.11 104.11 42.42
Fractional coordinates of all 9 atoms:
Pr: 0.0000 0.0000 0.0000
Pr: 0.3285 0.3285 0.3452
Pr: 0.6715 0.6715 0.6548
Zn: 0.0347 0.0347 0.3687
Zn: 0.2639 0.2639 0.9284
Zn: 0.7361 0.7361 0.0716
Zn: 0.9653 0.9653 0.6313
Si: 0.3902 0.3902 0.7245
Si: 0.6098 0.6098 0.2755

* theoretical density: 6.203 Mg/m³
* Fermi-level density of states: 6.7 states/eV/cell
* ΔE_f (raw): -50 kJ/mol of atoms
* total magnetic moment: 0.0 μB per formula unit
* V: 22.0 A^3/atom
* E_tot: -3.886 eV per atom

***

11.
Computed, not measured: a geometry-optimized Pr5ZrSi4 structure at the PBE level of DFT.

a b c (Å): 9.5013 9.5013 7.8202
angles (deg): 109.45 109.45 25.72
Fractional coordinates of all 10 atoms:
Pr: 0.0000 0.0000 0.0000
Pr: 0.3330 0.3330 0.1175
Pr: 0.3361 0.3361 0.6377
Pr: 0.6639 0.6639 0.3623
Pr: 0.6670 0.6670 0.8825
Zr: 0.0000 0.0000 0.5000
Si: 0.1693 0.1693 0.6310
Si: 0.4976 0.4976 0.2693
Si: 0.5024 0.5024 0.7307
Si: 0.8307 0.8307 0.3690

* theoretical density: 5.237 Mg/m³
* Fermi-level density of states: 7.0 states/eV/cell
* ΔE_f (raw): -39 kJ/mol of atoms
* total magnetic moment: 0.0 μB per formula unit
* V: 28.8 A^3/atom
* E_tot: -5.818 eV per atom

***

12.
Computed, not measured: a geometry-optimized Pr5Sm6 structure at the PBE level of DFT.

a b c (Å): 9.5776 9.5776 9.5776
angles (deg): 145.21 128.25 63.88
Fractional coordinates of all 11 atoms:
Pr: 0.0000 0.0000 0.0000
Pr: 0.1606 0.6606 0.5000
Pr: 0.3004 0.3004 0.0000
Pr: 0.6996 0.6996 0.0000
Pr: 0.8394 0.3394 0.5000
Sm: 0.1593 0.8637 0.2956
Sm: 0.2949 0.5000 0.7949
Sm: 0.4319 0.1363 0.2956
Sm: 0.5681 0.8637 0.7044
Sm: 0.7051 0.5000 0.2051
Sm: 0.8407 0.1363 0.7044

* theoretical density: 6.857 Mg/m³
* relative energy among the computed polymorphs: 0 meV per atom
* Fermi-level density of states: 16.3 states/eV/cell
* total magnetic moment: 0.0 μB per formula unit
* V: 35.4 A^3/atom
* E_tot: -4.640 eV per atom
* energy of formation: 1.18 eV per formula unit

***

Question: Among the records above, which one has the highest E_tot?
Answer: Pr3Zn9Si2

***

Question: Which value of V does entry 11 give?
Answer: 28.8 A^3/atom

***

Question: The highest V belongs to which entry?
Answer: number 1